{"formula": "ScIrRu3", "functional": "PBE", "state": "optimized geometry", "lattice_angstrom": [[-3.979, -0.766, -1.903], [-0.433, -3.746, 2.414], [-2.005, 2.330, 3.255]], "species": ["Sc", "Ir", "Ru", "Ru", "Ru"], "fractional_positions": [[0.000, 0.000, 0.000], [0.500, 0.500, 0.500], [0.500, 0.000, 0.000], [0.000, 0.000, 0.500], [0.000, 0.500, 0.000]], "ef_ev_per_atom": 1.785, "de_polymorph_mev_per_atom": 634}